First-principles (PBE-GGA) data for crystalline Cd3Se2Br2 at its relaxed geometry, as listed in Alexandria.

The total energy comes out at -2.493 eV/atom. The formation energy (no corrections) comes out at -0.627 eV/atom. As for the space-group type: C2/m (12).

```
7
Lattice="6.781 -2.018 0.000 6.781 2.018 0.000 -0.976 0.000 7.066" Properties=species:S:1:pos:R:3 pbc="T T T"
Cd 0.000 0.000 0.000
Cd 2.642 0.000 5.402
Cd 9.944 0.000 1.664
Se 4.978 0.000 0.669
Se 7.608 0.000 6.396
Br 1.420 0.000 2.832
Br 11.166 0.000 4.234
```